NaCoAsO (PBE with a Hubbard U, relaxed); relative energy among the computed polymorphs = 571 meV/atom
1.0
3.651 0.000 0.000
0.000 3.651 0.000
0.000 0.000 10.041
Na Co As O
2 2 2 2
direct
0.250 0.750 0.000
0.750 0.250 0.000
0.250 0.250 0.419
0.750 0.750 0.581
0.250 0.250 0.768
0.750 0.750 0.232
0.250 0.750 0.500
0.750 0.250 0.500